Computed, not measured: TcTeOs2 at its PBEsol-relaxed geometry at the SCAN level of DFT.

Properties
The calculation puts the excess energy over the best structure of this formula in the dataset at 0.0190 eV per atom. The electronic total energy is -53.324 eV per atom. The formation energy without anion corrections comes out at 0.694 eV per atom.

The structure in extended XYZ format:
```
4
Lattice="-2.3677 1.1939 -1.3971 -2.2977 -3.8082 0.6395 0.7709 2.9263 4.4093" Properties=species:S:1:pos:R:3 pbc="T T T"
Tc -1.1838 0.5970 -0.6985
Te -1.1489 -1.9041 0.3197
Os -0.8429 0.8738 2.1752
Os -3.0516 -0.5618 1.4765
```